No. 1
{
  "formula": "Th4HgPt",
  "functional": "GGA-PBE",
  "state": "optimized geometry",
  "lattice": [[7.8976, 0.0000, 0.0000], [0.0000, 7.1474, 0.0000], [-1.6010, 0.0000, 6.4972]],
  "species": ["Th", "Th", "Th", "Th", "Th", "Th", "Th", "Th", "Hg", "Hg", "Pt", "Pt"],
  "fractional_positions": [[0.1643, 0.1506, 0.1713], [0.1643, 0.3494, 0.6713], [0.2925, 0.6476, 0.3181], [0.2925, 0.8524, 0.8181], [0.7075, 0.1476, 0.1819], [0.7075, 0.3524, 0.6819], [0.8357, 0.6506, 0.3287], [0.8357, 0.8494, 0.8287], [0.5000, 0.0000, 0.5000], [0.5000, 0.5000, 0.0000], [0.0000, 0.0000, 0.5000], [0.0000, 0.5000, 0.0000]],
  "dos_at_fermi_per_ev_cell": 14.10,
  "final_energy_ev_per_atom": -6.26,
  "space_group": "P2_1/c, No. 14",
  "delta_e_f_ev_per_fu": -1.52,
  "total_magnetization_mub_per_fu": 0.00,
  "de_polymorph_mev_per_atom": 196
}

=====

No. 2
{
  "formula": "Th4Hg5Pt2",
  "functional": "GGA-PBE",
  "state": "optimized geometry",
  "lattice": [[7.8508, 0.0000, 0.0000], [0.0000, 3.8098, 0.0000], [-0.7799, 0.0000, 9.7025]],
  "species": ["Th", "Th", "Th", "Th", "Hg", "Hg", "Hg", "Hg", "Hg", "Pt", "Pt"],
  "fractional_positions": [[0.1893, 0.0000, 0.3541], [0.2249, 0.0000, 0.9326], [0.7751, 0.0000, 0.0674], [0.8107, 0.0000, 0.6459], [0.1598, 0.5000, 0.6358], [0.4620, 0.5000, 0.1712], [0.5000, 0.5000, 0.5000], [0.5380, 0.5000, 0.8288], [0.8402, 0.5000, 0.3642], [0.0776, 0.5000, 0.1380], [0.9224, 0.5000, 0.8620]],
  "dos_at_fermi_per_ev_cell": 8.43,
  "final_energy_ev_per_atom": -4.49,
  "space_group": "P2/m, No. 10",
  "delta_e_f_ev_per_fu": -6.17,
  "total_magnetization_mub_per_fu": 0.00
}

=====

Which formula does entry 2 have?
Th4Hg5Pt2